(1)
Below is a geometry-optimized ReMo2Os structure, with properties calculated at the PBE-GGA level.

Structure (POSCAR):
```
ReMo2Os
1.0
-1.971 1.971 3.937
1.971 -1.971 3.937
1.971 1.971 -3.937
Re Mo Os
1 2 1
direct
0.000 0.000 0.000
0.250 0.750 0.500
0.750 0.250 0.500
0.500 0.500 0.000
```

The formation energy comes out at 0.13 eV per atom. Its space group is I4/mmm, No. 139.

(2)
Below is a geometry-optimized Ho3Si11Pt23 structure, with properties calculated at the PBE-GGA level.

Structure (POSCAR):
```
Ho3Si11Pt23
1.0
0.000 8.490 8.490
8.490 0.000 8.490
8.490 8.490 0.000
Ho Si Pt
6 22 46
direct
0.000 0.000 0.500
0.000 0.500 0.000
0.000 0.500 0.500
0.500 0.000 0.000
0.500 0.000 0.500
0.500 0.500 0.000
0.165 0.165 0.165
0.165 0.165 0.504
0.165 0.504 0.165
0.171 0.171 0.829
0.171 0.829 0.171
0.171 0.829 0.829
0.181 0.606 0.606
0.394 0.394 0.394
0.394 0.394 0.819
0.394 0.819 0.394
0.496 0.835 0.835
0.504 0.165 0.165
0.606 0.181 0.606
0.606 0.606 0.181
0.606 0.606 0.606
0.819 0.394 0.394
0.829 0.171 0.171
0.829 0.171 0.829
0.829 0.829 0.171
0.835 0.496 0.835
0.835 0.835 0.496
0.835 0.835 0.835
0.075 0.308 0.308
0.082 0.422 0.748
0.082 0.748 0.422
0.082 0.748 0.748
0.083 0.083 0.083
0.083 0.083 0.751
0.083 0.751 0.083
0.249 0.917 0.917
0.252 0.252 0.578
0.252 0.252 0.918
0.252 0.578 0.252
0.252 0.578 0.918
0.252 0.918 0.252
0.252 0.918 0.578
0.308 0.075 0.308
0.308 0.308 0.075
0.308 0.308 0.308
0.374 0.374 0.626
0.374 0.626 0.374
0.374 0.626 0.626
0.422 0.082 0.748
0.422 0.748 0.082
0.422 0.748 0.748
0.578 0.252 0.252
0.578 0.252 0.918
0.578 0.918 0.252
0.626 0.374 0.374
0.626 0.374 0.626
0.626 0.626 0.374
0.692 0.692 0.692
0.692 0.692 0.925
0.692 0.925 0.692
0.748 0.082 0.422
0.748 0.082 0.748
0.748 0.422 0.082
0.748 0.422 0.748
0.748 0.748 0.082
0.748 0.748 0.422
0.751 0.083 0.083
0.917 0.249 0.917
0.917 0.917 0.249
0.917 0.917 0.917
0.918 0.252 0.252
0.918 0.252 0.578
0.918 0.578 0.252
0.925 0.692 0.692
```

Its formation energy without anion corrections is -0.881 eV per atom. Its space group is Fm-3m, No. 225.

(3)
Below is a geometry-optimized Rb2Np3TlSe8 structure, with properties calculated at the PBE-GGA level.

Structure (POSCAR):
```
Rb2Np3TlSe8
1.0
4.234 2.444 8.316
-4.234 2.444 8.316
0.000 -4.888 8.316
Rb Np Tl Se
2 3 1 8
direct
0.000 0.000 0.000
0.361 0.361 0.361
0.362 0.362 0.862
0.362 0.862 0.362
0.862 0.362 0.362
0.741 0.741 0.741
0.102 0.102 0.558
0.102 0.558 0.102
0.135 0.135 0.135
0.161 0.622 0.622
0.558 0.102 0.102
0.589 0.589 0.589
0.622 0.161 0.622
0.622 0.622 0.161
```

Its formation energy without anion corrections is -1.014 eV per atom. Its space group is R3m, No. 160.

(4)
Below is a geometry-optimized SiMoRu2 structure, with properties calculated at the PBE-GGA level.

Structure (POSCAR):
```
SiMoRu2
1.0
0.000 3.051 3.051
3.051 0.000 3.051
3.051 3.051 0.000
Si Mo Ru
1 1 2
direct
0.000 0.000 0.000
0.750 0.750 0.750
0.250 0.250 0.250
0.500 0.500 0.500
```

Its formation energy without anion corrections is 0.012 eV per atom. Its space group is F-43m, No. 216.

(5)
Below is a geometry-optimized LiMnFe2 structure, with properties calculated at the PBE-GGA level.

Structure (POSCAR):
```
LiMnFe2
1.0
2.480 0.000 0.000
0.000 3.659 0.000
0.000 0.000 4.980
Li Mn Fe
1 1 2
direct
0.000 0.000 0.000
0.000 0.000 0.500
0.500 0.500 0.247
0.500 0.500 0.753
```

The offset from the most stable computed form comes out at 42 meV per atom. The formation energy comes out at 0.25 eV per atom. Its space group is Pmmm, No. 47.

(6)
Below is a geometry-optimized NaTcC2 structure, with properties calculated at the PBE-GGA level.

Structure (POSCAR):
```
NaTcC2
1.0
-2.682 2.682 4.749
2.682 -2.682 4.749
2.682 2.682 -4.749
Na Tc C
2 2 4
direct
0.000 0.000 0.000
0.750 0.250 0.500
0.250 0.750 0.500
0.500 0.500 0.000
0.257 0.625 0.132
0.375 0.507 0.632
0.493 0.125 0.868
0.875 0.743 0.368
```

The offset from the most stable computed form comes out at 0 meV per atom. The formation energy comes out at 0.74 eV per atom. Its space group is I-42d, No. 122.

no.,calculated volume (A^3/atom)
1,15.3
2,16.5
3,36.9
4,14.2
5,11.3
6,17.1